Here is crystalline Re2AgHPt at its relaxed geometry from the Alexandria database. Energies are from PBE.

Computed properties:
The symmetry is P4/mmm, No. 123. As for the final energy: -34.62 eV per formula unit.

a = 3.898 Å, b = 3.898 Å, c = 4.269 Å
α = 90.00°, β = 90.00°, γ = 90.00°
Positions (direct):
Re1 0.000 0.500 0.000
Re2 0.500 0.000 0.000
Ag1 0.000 0.000 0.500
H1 0.500 0.500 0.000
Pt1 0.500 0.500 0.500